(w)
BaRe2Ir2 PBE optimized geometry; total magnetization = 0.00 μB per formula unit; space group = P4/mbm, No. 127
1.0
8.070 0.000 0.000
0.000 8.070 0.000
0.000 0.000 2.816
Ba Re Ir
2 4 4
Cartesian
0.000 0.000 0.000
4.035 4.035 0.000
0.930 3.105 0.000
3.105 7.140 0.000
4.965 0.930 0.000
7.140 4.965 0.000
1.353 5.388 1.408
2.682 1.353 1.408
5.388 6.717 1.408
6.717 2.682 1.408

=====

(x)
BaRe2Ir2 PBE optimized geometry; total magnetization = 0.00 μB per formula unit; space group = I4/mmm, No. 139
1.0
4.587 0.000 0.000
0.000 4.587 0.000
0.000 0.000 9.914
Ba Re Ir
2 4 4
Cartesian
0.000 0.000 0.000
2.293 2.293 4.957
0.000 0.000 3.662
0.000 0.000 6.252
2.293 2.293 1.295
2.293 2.293 8.619
0.000 2.293 2.479
0.000 2.293 7.436
2.293 0.000 2.479
2.293 0.000 7.436

=====

Which of them is the least stable? Correct choice: (x).

=====

(w)
Ba2IrRh PBE optimized geometry; total magnetization = 1.33 μB per formula unit; space group = P4mm, No. 99
1.0
3.678 0.000 0.000
0.000 3.678 0.000
0.000 0.000 9.264
Ba Ir Rh
2 1 1
Cartesian
0.000 0.000 0.000
1.839 1.839 4.086
0.000 0.000 6.338
1.839 1.839 6.986

=====

(x)
Ba2IrRh PBE optimized geometry; total magnetization = 0.00 μB per formula unit; space group = I-42d, No. 122
1.0
8.203 0.000 0.000
0.000 8.203 0.000
0.000 0.000 6.570
Ba Ir Rh
8 4 4
Cartesian
2.004 6.152 0.821
2.051 2.004 5.749
2.051 2.098 2.464
2.098 6.152 4.106
6.105 2.051 4.106
6.152 6.105 2.464
6.152 6.199 5.749
6.199 2.051 0.821
0.000 0.000 3.285
0.000 4.101 4.927
4.101 0.000 1.642
4.101 4.101 0.000
0.000 0.000 0.000
0.000 4.101 1.642
4.101 0.000 4.927
4.101 4.101 3.285

=====

(y)
Ba2IrRh PBE optimized geometry; total magnetization = 0.00 μB per formula unit; space group = Pmmm, No. 47
1.0
3.660 0.000 0.000
0.000 4.057 0.000
0.000 0.000 7.250
Ba Ir Rh
2 1 1
Cartesian
0.000 0.000 1.787
0.000 0.000 5.463
1.830 2.029 0.000
1.830 2.029 3.625

=====

Which of them is the least stable? Correct choice: (x).

=====

(w)
Ba2IrRh PBE optimized geometry; total magnetization = 0.00 μB per formula unit; space group = Imm2, No. 44
1.0
4.536 0.000 0.000
0.000 4.590 0.000
0.000 0.000 14.887
Ba Ir Rh
4 2 2
Cartesian
0.000 0.000 0.000
0.000 2.295 3.943
2.268 0.000 11.387
2.268 2.295 7.444
0.000 0.000 6.092
2.268 2.295 13.536
0.000 2.295 12.714
2.268 0.000 5.270

=====

(x)
Ba2IrRh PBE optimized geometry; total magnetization = 0.00 μB per formula unit; space group = Amm2, No. 38
1.0
4.677 0.000 0.000
0.000 4.966 0.000
0.000 0.000 10.885
Ba Ir Rh
4 2 2
Cartesian
0.000 0.000 0.000
0.000 2.483 5.443
2.339 0.000 3.203
2.339 2.483 8.645
0.000 0.000 7.439
0.000 2.483 1.996
2.339 0.000 6.686
2.339 2.483 1.244

=====

Which of them is the least stable? Correct choice: (w).

=====

(w)
Ba2IrRh PBE optimized geometry; total magnetization = 1.14 μB per formula unit; space group = F-43m, No. 216
1.0
7.424 0.000 0.000
0.000 7.424 0.000
0.000 0.000 7.424
Ba Ir Rh
8 4 4
Cartesian
0.000 0.000 0.000
0.000 3.712 3.712
1.856 1.856 1.856
1.856 5.568 5.568
3.712 0.000 3.712
3.712 3.712 0.000
5.568 1.856 5.568
5.568 5.568 1.856
0.000 0.000 3.712
0.000 3.712 0.000
3.712 0.000 0.000
3.712 3.712 3.712
1.856 1.856 5.568
1.856 5.568 1.856
5.568 1.856 1.856
5.568 5.568 5.568

=====

(x)
Ba2IrRh PBE optimized geometry; total magnetization = 0.00 μB per formula unit; space group = Fm-3m, No. 225
1.0
7.568 0.000 0.000
0.000 7.568 0.000
0.000 0.000 7.568
Ba Ir Rh
8 4 4
Cartesian
1.892 1.892 1.892
1.892 1.892 5.676
1.892 5.676 1.892
1.892 5.676 5.676
5.676 1.892 1.892
5.676 1.892 5.676
5.676 5.676 1.892
5.676 5.676 5.676
0.000 0.000 0.000
0.000 3.784 3.784
3.784 0.000 3.784
3.784 3.784 0.000
0.000 0.000 3.784
0.000 3.784 0.000
3.784 0.000 0.000
3.784 3.784 3.784

=====

Which of them is the least stable? Correct choice: (w).

=====

(w)
BaIr3Rh PBE optimized geometry; total magnetization = 2.03 μB per formula unit; space group = Pm-3m, No. 221
1.0
4.874 0.000 0.000
0.000 4.874 0.000
0.000 0.000 4.874
Ba Ir Rh
1 3 1
Cartesian
0.000 0.000 0.000
0.000 2.437 2.437
2.437 0.000 2.437
2.437 2.437 0.000
2.437 2.437 2.437

=====

(x)
BaIr3Rh PBE optimized geometry; total magnetization = 3.30 μB per formula unit; space group = Pm-3m, No. 221
1.0
5.040 0.000 0.000
0.000 5.040 0.000
0.000 0.000 5.040
Ba Ir Rh
1 3 1
Cartesian
0.000 0.000 0.000
0.000 0.000 2.520
0.000 2.520 0.000
2.520 0.000 0.000
2.520 2.520 2.520

=====

Which of them is the least stable? Correct choice: (x).

=====

(w)
BaIr2Rh2 PBE optimized geometry; total magnetization = 0.00 μB per formula unit; space group = I4/mmm, No. 139
1.0
4.145 0.000 0.000
0.000 4.145 0.000
0.000 0.000 11.480
Ba Ir Rh
2 4 4
Cartesian
0.000 0.000 0.000
2.072 2.072 5.740
0.000 2.072 2.870
0.000 2.072 8.610
2.072 0.000 2.870
2.072 0.000 8.610
0.000 0.000 4.472
0.000 0.000 7.008
2.072 2.072 1.268
2.072 2.072 10.212

=====

(x)
BaIr2Rh2 PBE optimized geometry; total magnetization = 0.00 μB per formula unit; space group = I4/mmm, No. 139
1.0
4.382 0.000 0.000
0.000 4.382 0.000
0.000 0.000 10.588
Ba Ir Rh
2 4 4
Cartesian
0.000 0.000 0.000
2.191 2.191 5.294
0.000 0.000 4.098
0.000 0.000 6.490
2.191 2.191 1.196
2.191 2.191 9.392
0.000 2.191 2.647
0.000 2.191 7.941
2.191 0.000 2.647
2.191 0.000 7.941

=====

Which of them is the least stable? Correct choice: (w).